Below is a relaxed structure of MoPtPb2, with properties calculated at the PBE-GGA level.

## Properties
The value obtained for the energy above the most stable polymorph in this dataset is 351 meV/atom. For the density of states at the Fermi level, the calculation gives 3.533 states/eV per cell. As for the formation energy: 0.505 eV per atom. The magnetic moment is 1.51 Bohr magnetons per cell.

abc: 5.7961 5.7961 5.7961
angles: 138.85 138.85 59.60
Positions (direct):
1 Mo 0.0000 0.0000 0.0000
2 Pt 0.7500 0.2500 0.5000
3 Pb 0.2500 0.7500 0.5000
4 Pb 0.5000 0.5000 0.0000

=====

Below is a relaxed structure of MoPtPb2, with properties calculated at the PBE-GGA level.

## Properties
The value obtained for the energy above the most stable polymorph in this dataset is 544 meV/atom. For the density of states at the Fermi level, the calculation gives 6.338 states/eV per cell. As for the formation energy: 0.698 eV per atom. The magnetic moment is 5.41 Bohr magnetons per cell.

abc: 6.3015 6.3015 6.3015
angles: 103.71 103.71 121.74
Positions (direct):
1 Mo 0.0000 0.0000 0.0000
2 Mo 0.7500 0.2500 0.5000
3 Pt 0.2500 0.7500 0.5000
4 Pt 0.5000 0.5000 0.0000
5 Pb 0.1439 0.6250 0.0189
6 Pb 0.3750 0.3939 0.5189
7 Pb 0.6061 0.1250 0.9811
8 Pb 0.8750 0.8561 0.4811

=====

Below is a relaxed structure of Mo2PtPb, with properties calculated at the PBE-GGA level.

## Properties
For the density of states at the Fermi level, the calculation gives 2.846 states/eV per cell. As for the formation energy: 0.321 eV per atom. The magnetic moment is 0.00 Bohr magnetons per cell.

abc: 5.0099 5.0099 4.9538
angles: 105.24 105.24 37.32
Positions (direct):
1 Mo 0.0000 0.0000 0.0000
2 Mo 0.7115 0.7115 0.1554
3 Pt 0.2393 0.2393 0.7089
4 Pb 0.4797 0.4797 0.4792

=====

Below is a relaxed structure of Mo2PtPb, with properties calculated at the PBE-GGA level.

## Properties
For the density of states at the Fermi level, the calculation gives 5.208 states/eV per cell. As for the formation energy: 0.483 eV per atom. The magnetic moment is 0.00 Bohr magnetons per cell.

abc: 2.9595 2.9595 8.1245
angles: 90.00 90.00 90.00
Positions (direct):
1 Mo 0.0000 0.0000 0.2282
2 Mo 0.0000 0.0000 0.7718
3 Pt 0.5000 0.5000 0.0000
4 Pb 0.5000 0.5000 0.5000

=====

Below is a relaxed structure of Mo2PtPb, with properties calculated at the PBE-GGA level.

## Properties
For the density of states at the Fermi level, the calculation gives 2.538 states/eV per cell. As for the formation energy: 0.341 eV per atom. The magnetic moment is 0.00 Bohr magnetons per cell.

abc: 2.9325 2.9325 8.9605
angles: 90.00 90.00 104.99
Positions (direct):
1 Mo 0.0000 0.0000 0.0000
2 Mo 0.5000 0.5000 0.2190
3 Pt 0.0000 0.0000 0.4357
4 Pb 0.5000 0.5000 0.7214

=====

Below is a relaxed structure of Pu2MoPb, with properties calculated at the PBE-GGA level.

## Properties
For the density of states at the Fermi level, the calculation gives 12.922 states/eV per cell. As for the formation energy: 0.252 eV per atom. The magnetic moment is 9.35 Bohr magnetons per cell.

abc: 3.9072 3.9072 6.0907
angles: 90.00 90.00 90.00
Positions (direct):
1 Pu 0.0000 0.0000 0.2313
2 Pu 0.0000 0.0000 0.7687
3 Mo 0.5000 0.5000 0.0000
4 Pb 0.5000 0.5000 0.5000

=====

Below is a relaxed structure of Rb2Mo2Pb, with properties calculated at the PBE-GGA level.

## Properties
The value obtained for the energy above the most stable polymorph in this dataset is 1190 meV/atom. For the density of states at the Fermi level, the calculation gives 5.996 states/eV per cell. As for the formation energy: 1.953 eV per atom. The magnetic moment is 12.34 Bohr magnetons per cell.

abc: 10.7792 10.7792 2.9306
angles: 90.00 90.00 90.00
Positions (direct):
1 Rb 0.1287 0.3713 0.0000
2 Rb 0.3713 0.8713 0.0000
3 Rb 0.6287 0.1287 0.0000
4 Rb 0.8713 0.6287 0.0000
5 Mo 0.1730 0.6730 0.5000
6 Mo 0.3270 0.1730 0.5000
7 Mo 0.6730 0.8270 0.5000
8 Mo 0.8270 0.3270 0.5000
9 Pb 0.0000 0.0000 0.0000
10 Pb 0.5000 0.5000 0.0000

=====

Below is a relaxed structure of Rb2Mo2Pb, with properties calculated at the PBE-GGA level.

## Properties
The value obtained for the energy above the most stable polymorph in this dataset is 0 meV/atom. For the density of states at the Fermi level, the calculation gives 4.785 states/eV per cell. As for the formation energy: 0.763 eV per atom. The magnetic moment is 0.00 Bohr magnetons per cell.

abc: 13.2744 13.2744 13.2744
angles: 164.66 164.66 21.75
Positions (direct):
1 Rb 0.1170 0.1170 0.0000
2 Rb 0.8830 0.8830 0.0000
3 Mo 0.2500 0.7500 0.5000
4 Mo 0.7500 0.2500 0.5000
5 Pb 0.5000 0.5000 0.0000